# 1
First-principles (PBE) data for crystalline NiTe at its relaxed geometry, as listed in the Alexandria database.

The structure in CIF format:
```
data_NiTe
_chemical_formula_sum 'Ni4 Te4'
_symmetry_space_group_name_H-M 'P 63/m m c'
_symmetry_Int_Tables_number 194
_symmetry_space_group_name_Hall '-P 6c 2c'
_cell_length_a 4.0147
_cell_length_b 4.0147
_cell_length_c 11.9894
_cell_angle_alpha 90.00
_cell_angle_beta 90.00
_cell_angle_gamma 120.00
loop_
_atom_site_label
_atom_site_type_symbol
_atom_site_fract_x
_atom_site_fract_y
_atom_site_fract_z
Ni1 Ni 0.0000 0.0000 0.2500
Ni2 Ni 0.3333 0.6667 0.2500
Te1 Te 0.3333 0.6667 0.6227
```

Output
Fermi-level density of states ... 2.1 states/eV/f.u.
Total magnetization ... 0.00 μB/f.u.

# 2
First-principles (PBE) data for crystalline Ni2Te at its relaxed geometry, as listed in the Alexandria database.

The structure in CIF format:
```
data_Ni2Te
_chemical_formula_sum 'Ni6 Te3'
_symmetry_space_group_name_H-M 'P -6 2 m'
_symmetry_Int_Tables_number 189
_symmetry_space_group_name_Hall 'P -6 -2'
_cell_length_a 6.4469
_cell_length_b 6.4469
_cell_length_c 3.8865
_cell_angle_alpha 90.00
_cell_angle_beta 90.00
_cell_angle_gamma 120.00
loop_
_atom_site_label
_atom_site_type_symbol
_atom_site_fract_x
_atom_site_fract_y
_atom_site_fract_z
Ni1 Ni 0.0000 0.2473 0.0000
Ni2 Ni 0.0000 0.5984 0.5000
Te1 Te 0.0000 0.0000 0.5000
Te2 Te 0.3333 0.6667 0.0000
```

Output
Fermi-level density of states ... 2.7 states/eV/f.u.
Total magnetization ... 0.00 μB/f.u.

# 3
First-principles (PBE) data for crystalline NiTe3 at its relaxed geometry, as listed in the Alexandria database.

The structure in CIF format:
```
data_NiTe3
_chemical_formula_sum 'Ni3 Te9'
_symmetry_space_group_name_H-M 'R -3 m'
_symmetry_Int_Tables_number 166
_symmetry_space_group_name_Hall '-R 3 2"'
_cell_length_a 3.8816
_cell_length_b 3.8816
_cell_length_c 22.5393
_cell_angle_alpha 90.00
_cell_angle_beta 90.00
_cell_angle_gamma 120.00
loop_
_atom_site_label
_atom_site_type_symbol
_atom_site_fract_x
_atom_site_fract_y
_atom_site_fract_z
Ni1 Ni 0.0000 0.0000 0.0000
Te1 Te 0.0000 0.0000 0.2742
Te2 Te 0.0000 0.0000 0.5000
```

Output
Fermi-level density of states ... 3.9 states/eV/f.u.
Total magnetization ... 0.00 μB/f.u.

# 4
First-principles (PBE) data for crystalline Ni3Te at its relaxed geometry, as listed in the Alexandria database.

The structure in CIF format:
```
data_Ni3Te
_chemical_formula_sum 'Ni6 Te2'
_symmetry_space_group_name_H-M 'P m m n'
_symmetry_Int_Tables_number 59
_cell_length_a 4.282
_cell_length_b 5.353
_cell_length_c 4.615
_cell_angle_alpha 90.00
_cell_angle_beta 90.00
_cell_angle_gamma 90.00
loop_
_symmetry_equiv_pos_as_xyz
'x,y,z'
'-x,-y,-z'
'-x+1/2,-y+1/2,z'
'x+1/2,y+1/2,-z'
'x+1/2,-y,-z'
'-x+1/2,y,z'
'-x,y+1/2,-z'
'x,-y+1/2,z'
loop_
_atom_site_label
_atom_site_type_symbol
_atom_site_fract_x
_atom_site_fract_y
_atom_site_fract_z
Ni1 Ni 0.250 0.001 0.162
Ni2 Ni 0.250 0.250 0.677
Te1 Te 0.250 0.750 0.676
```

Output
Fermi-level density of states ... 4.5 states/eV/f.u.
Total magnetization ... 0.00 μB/f.u.

# 5
First-principles (PBE) data for crystalline NiTe at its relaxed geometry, as listed in the Alexandria database.

The structure in CIF format:
```
data_NiTe
_chemical_formula_sum 'Ni6 Te6'
_symmetry_space_group_name_H-M 'P m -3 n'
_symmetry_Int_Tables_number 223
_symmetry_space_group_name_Hall '-P 4n 2 3'
_cell_length_a 7.029
_cell_length_b 7.029
_cell_length_c 7.029
_cell_angle_alpha 90.00
_cell_angle_beta 90.00
_cell_angle_gamma 90.00
loop_
_atom_site_label
_atom_site_type_symbol
_atom_site_fract_x
_atom_site_fract_y
_atom_site_fract_z
Ni1 Ni 0.000 0.250 0.500
Te1 Te 0.000 0.500 0.250
```

Output
Fermi-level density of states ... 1.5 states/eV/f.u.
Total magnetization ... 0.00 μB/f.u.

# 6
First-principles (PBE) data for crystalline NiTe at its relaxed geometry, as listed in the Alexandria database.

The structure in CIF format:
```
data_NiTe
_chemical_formula_sum 'Ni16 Te16'
_symmetry_space_group_name_H-M 'F d d d'
_symmetry_Int_Tables_number 70
_cell_length_a 7.811
_cell_length_b 7.839
_cell_length_c 11.455
_cell_angle_alpha 90.00
_cell_angle_beta 90.00
_cell_angle_gamma 90.00
loop_
_symmetry_equiv_pos_as_xyz
'x,y,z'
'-x,-y,-z'
'-x+1/4,-y+1/4,z'
'x+1/4,y+1/4,-z'
'x,-y+1/4,-z+1/4'
'-x,y+1/4,z+1/4'
'-x+1/4,y,-z+1/4'
'x+1/4,-y,z+1/4'
'x,y+1/2,z+1/2'
'-x,-y+1/2,-z+1/2'
'-x+1/4,-y+3/4,z+1/2'
'x+1/4,y+3/4,-z+1/2'
'x,-y+3/4,-z+3/4'
'-x,y+3/4,z+3/4'
'-x+1/4,y+1/2,-z+3/4'
'x+1/4,-y+1/2,z+3/4'
'x+1/2,y,z+1/2'
'-x+1/2,-y,-z+1/2'
'-x+3/4,-y+1/4,z+1/2'
'x+3/4,y+1/4,-z+1/2'
'x+1/2,-y+1/4,-z+3/4'
'-x+1/2,y+1/4,z+3/4'
'-x+3/4,y,-z+3/4'
'x+3/4,-y,z+3/4'
'x+1/2,y+1/2,z'
'-x+1/2,-y+1/2,-z'
'-x+3/4,-y+3/4,z'
'x+3/4,y+3/4,-z'
'x+1/2,-y+3/4,-z+1/4'
'-x+1/2,y+3/4,z+1/4'
'-x+3/4,y+1/2,-z+1/4'
'x+3/4,-y+1/2,z+1/4'
loop_
_atom_site_label
_atom_site_type_symbol
_atom_site_fract_x
_atom_site_fract_y
_atom_site_fract_z
Ni1 Ni 0.125 0.125 0.010
Te1 Te 0.102 0.375 0.875
```

Output
Fermi-level density of states ... 2.1 states/eV/f.u.
Total magnetization ... 0.00 μB/f.u.

Number 1: formation energy without anion corrections 0.08 eV per formula unit. Number 2: formation energy without anion corrections 0.28 eV per formula unit. Number 3: formation energy without anion corrections -0.23 eV per formula unit. Number 4: formation energy without anion corrections 0.08 eV per formula unit. Number 5: formation energy without anion corrections 0.04 eV per formula unit. Number 6: formation energy without anion corrections -0.14 eV per formula unit.